An optimized crystal structure of Zr2ScPd, computed with PBE.

Computed properties:
Raw total energy   -57.668 eV per cell
Energy relative to the elements   -0.053 eV per atom
Size of the total moment   0.000 μB/atom
Space-group type   No. 122
Crystal system   tetragonal

a = 7.926 Å, b = 7.926 Å, c = 6.295 Å
α = 50.98°, β = 50.98°, γ = 90.00°
Fractional coordinates of all 8 atoms:
Sc  0.500  0.500  0.000
Zr  0.375  0.329  0.750
Zr  0.079  0.625  0.250
Zr  0.875  0.921  0.750
Pd  0.000  0.000  0.000
Pd  0.750  0.250  0.500
Zr  0.671  0.125  0.250
Sc  0.250  0.750  0.500

An optimized crystal structure of Zr2ScPd, computed with PBE.

Computed properties:
Raw total energy   -29.710 eV per cell
Energy relative to the elements   -0.272 eV per atom
Size of the total moment   0.000 μB/atom
Space-group type   No. 123
Crystal system   tetragonal

a = 3.359 Å, b = 3.359 Å, c = 7.417 Å
α = 90.00°, β = 90.00°, γ = 90.00°
Fractional coordinates of all 4 atoms:
Pd  0.500  0.500  0.000
Zr  0.000  0.000  0.774
Zr  0.000  0.000  0.226
Sc  0.500  0.500  0.500

An optimized crystal structure of Zr3ScPd12, computed with PBE.

Computed properties:
Raw total energy   -107.682 eV per cell
Energy relative to the elements   -0.837 eV per atom
Size of the total moment   0.000 μB/atom
Space-group type   No. 123
Crystal system   tetragonal

a = 4.026 Å, b = 4.026 Å, c = 16.114 Å
α = 90.00°, β = 90.00°, γ = 90.00°
Fractional coordinates of all 16 atoms:
Sc  0.000  0.000  0.000
Zr  0.000  0.000  0.246
Pd  0.500  0.000  0.625
Pd  0.000  0.500  0.625
Pd  0.000  0.500  0.875
Pd  0.500  0.500  0.000
Pd  0.500  0.500  0.500
Pd  0.500  0.500  0.251
Pd  0.500  0.000  0.875
Zr  0.000  0.000  0.754
Pd  0.500  0.000  0.375
Pd  0.500  0.500  0.749
Pd  0.500  0.000  0.125
Pd  0.000  0.500  0.125
Zr  0.000  0.000  0.500
Pd  0.000  0.500  0.375

An optimized crystal structure of PdSe, computed with PBE.

Computed properties:
Raw total energy   -18.188 eV per cell
E_form (uncorrected)   -0.208 eV/atom
Size of the total moment   0.000 μB/atom
Space-group type   No. 11
Crystal system   monoclinic

a = 3.894 Å, b = 3.602 Å, c = 5.240 Å
α = 90.00°, β = 100.02°, γ = 90.00°
Fractional coordinates of all 4 atoms:
Pd  0.314  0.250  0.285
Pd  0.686  0.750  0.715
Se  0.195  0.250  0.775
Se  0.805  0.750  0.225

An optimized crystal structure of PdSe2, computed with PBE.

Computed properties:
Raw total energy   -51.210 eV per cell
E_form (uncorrected)   -0.214 eV/atom
Size of the total moment   0.000 μB/atom
Space-group type   No. 60
Crystal system   orthorhombic

a = 5.041 Å, b = 6.900 Å, c = 7.304 Å
α = 90.00°, β = 90.00°, γ = 90.00°
Fractional coordinates of all 12 atoms:
Se  0.706  0.554  0.912
Se  0.794  0.054  0.588
Se  0.294  0.446  0.088
Pd  0.500  0.250  0.353
Pd  0.000  0.250  0.853
Pd  0.000  0.750  0.147
Se  0.294  0.946  0.912
Pd  0.500  0.750  0.647
Se  0.206  0.446  0.588
Se  0.794  0.554  0.412
Se  0.206  0.946  0.412
Se  0.706  0.054  0.088

An optimized crystal structure of Pd8Se, computed with PBE.

Computed properties:
Raw total energy   -45.289 eV per cell
E_form (uncorrected)   -0.029 eV/atom
Size of the total moment   0.000 μB/atom
Space-group type   No. 139
Crystal system   tetragonal

a = 3.994 Å, b = 6.254 Å, c = 6.254 Å
α = 84.15°, β = 71.38°, γ = 71.38°
Fractional coordinates of all 9 atoms:
Pd  0.333  0.667  0.667
Se  0.000  0.000  0.000
Pd  0.667  0.000  0.666
Pd  0.667  0.333  0.333
Pd  0.000  0.333  0.667
Pd  0.333  0.334  0.000
Pd  0.333  0.000  0.334
Pd  0.000  0.667  0.333
Pd  0.667  0.666  0.000